(1)
Density functional theory data (PBE-GGA) for crystalline DyCu4Ge2 at its relaxed geometry.

distance to the lowest polymorph of the same formula: 0 meV per atom
formation enthalpy at 0 K: -31.64 kJ/mol of atoms
E_tot: -4.645 eV per atom

a b c (Å): 7.3894 7.3894 3.9651
angles (deg): 90.00 90.00 90.00
Space group P4_2/mnm (No. 136)
Symmetry-distinct sites (fractional):
Dy  0.0000  0.0000  0.0000
Cu  0.0904  0.3467  0.5000
Ge  0.2164  0.7836  0.5000


(2)
Density functional theory data (PBE-GGA) for crystalline TbSm2Bi3 at its relaxed geometry.

formation enthalpy at 0 K: -87.75 kJ/mol of atoms
E_tot: -5.195 eV per atom

a b c (Å): 4.5377 6.4123 13.6126
angles (deg): 90.00 90.00 90.00
Space group Immm (No. 71)
Symmetry-distinct sites (fractional):
Tb  0.0000  0.0000  0.0000
Sm  0.0000  0.0000  0.3327
Bi  0.0000  0.5000  0.0000
Bi  0.0000  0.5000  0.3357


(3)
Density functional theory data (PBE-GGA) for crystalline CaLa2MgPt at its relaxed geometry.

distance to the lowest polymorph of the same formula: 27 meV per atom
formation enthalpy at 0 K: -38.27 kJ/mol of atoms
E_tot: -4.295 eV per atom

a b c (Å): 5.6430 5.6430 5.7263
angles (deg): 90.00 90.00 90.00
Space group P4/mmm (No. 123)
Symmetry-distinct sites (fractional):
Ca  0.0000  0.0000  0.0000
La  0.0000  0.5000  0.5000
Mg  0.5000  0.5000  0.0000
Pt  0.0000  0.0000  0.5000


(4)
Density functional theory data (PBE-GGA) for crystalline TbGa4Cu2Ir at its relaxed geometry.

formation enthalpy at 0 K: -32.54 kJ/mol of atoms
E_tot: -4.561 eV per atom

a b c (Å): 4.1830 4.1830 26.6384
angles (deg): 90.00 90.00 120.00
Space group R-3m (No. 166, hexagonal axes)
Symmetry-distinct sites (fractional):
Tb  0.0000  0.0000  0.0000
Ga  0.0000  0.0000  0.1288
Ga  0.0000  0.0000  0.4005
Cu  0.0000  0.0000  0.2409
Ir  0.0000  0.0000  0.5000


(5)
Density functional theory data (PBE-GGA) for crystalline Tl2PtW at its relaxed geometry.

distance to the lowest polymorph of the same formula: 414 meV per atom
formation enthalpy at 0 K: 72.82 kJ/mol of atoms
E_tot: -5.177 eV per atom

a b c (Å): 3.0102 4.7075 5.5922
angles (deg): 90.00 91.33 90.00
Space group P2/m (No. 10)
Symmetry-distinct sites (fractional):
Tl  0.2066  0.0000  0.2488
Pt  0.0000  0.5000  0.5000
W  0.5000  0.5000  0.0000


(6)
Density functional theory data (PBE-GGA) for crystalline Pr2YZn3Pt4 at its relaxed geometry.

formation enthalpy at 0 K: -79.24 kJ/mol of atoms
E_tot: -5.222 eV per atom

a b c (Å): 4.2037 4.2037 11.7511
angles (deg): 90.00 90.00 90.00
Space group P-4m2 (No. 115)
Symmetry-distinct sites (fractional):
Pr  0.0000  0.5000  0.2249
Y  0.0000  0.0000  0.5000
Zn  0.0000  0.5000  0.8753
Zn  0.5000  0.5000  0.5000
Pt  0.0000  0.0000  0.0000
Pt  0.0000  0.5000  0.6593
Pt  0.5000  0.5000  0.0000


(7)
Density functional theory data (PBE-GGA) for crystalline YRh2N at its relaxed geometry.

formation energy (no corrections): -0.313 eV per atom
E_tot: -7.686 eV per atom

a b c (Å): 7.0801 7.0801 5.1922
angles (deg): 90.00 90.00 90.00
Space group I-42d (No. 122)
Symmetry-distinct sites (fractional):
Y  0.0000  0.0000  0.0000
Rh  0.1033  0.2500  0.6250
N  0.0000  0.0000  0.5000


(8)
Density functional theory data (PBE-GGA) for crystalline Rb2Zn4Cu at its relaxed geometry.

formation enthalpy at 0 K: 17.95 kJ/mol of atoms
E_tot: -1.404 eV per atom

a b c (Å): 4.8780 4.8780 18.5129
angles (deg): 90.00 90.00 90.00
Space group I4/mmm (No. 139)
Symmetry-distinct sites (fractional):
Rb  0.0000  0.0000  0.1618
Zn  0.0000  0.0000  0.3716
Zn  0.0000  0.5000  0.0000
Cu  0.0000  0.0000  0.5000


(9)
Density functional theory data (PBE-GGA) for crystalline CePm10Dy4 at its relaxed geometry.

formation enthalpy at 0 K: 31.43 kJ/mol of atoms
E_tot: -4.464 eV per atom

a b c (Å): 9.7940 9.7940 10.6815
angles (deg): 90.00 90.00 90.00
Space group I4/m (No. 87)
Symmetry-distinct sites (fractional):
Ce  0.0000  0.0000  0.0000
Pm  0.0000  0.5000  0.2500
Pm  0.1160  0.2122  0.3435
Dy  0.0600  0.3314  0.0000


(10)
Density functional theory data (PBE-GGA) for crystalline ZrNiRu at its relaxed geometry.

distance to the lowest polymorph of the same formula: 780 meV per atom
formation enthalpy at 0 K: 36.10 kJ/mol of atoms
E_tot: -7.494 eV per atom

a b c (Å): 6.0325 6.0325 6.0325
angles (deg): 90.00 90.00 90.00
Space group F-43m (No. 216)
Symmetry-distinct sites (fractional):
Zr  0.0000  0.0000  0.0000
Ni  0.2500  0.2500  0.2500
Ru  0.2500  0.2500  0.7500


(11)
Density functional theory data (PBE-GGA) for crystalline Ca2LaNi at its relaxed geometry.

distance to the lowest polymorph of the same formula: 344 meV per atom
formation enthalpy at 0 K: 21.58 kJ/mol of atoms
E_tot: -3.454 eV per atom

a b c (Å): 4.4486 4.4486 11.4040
angles (deg): 90.00 90.00 90.00
Space group I4/mmm (No. 139)
Symmetry-distinct sites (fractional):
Ca  0.0000  0.5000  0.2500
La  0.0000  0.0000  0.0000
Ni  0.0000  0.0000  0.5000


(12)
Density functional theory data (PBE-GGA) for crystalline YUPd6 at its relaxed geometry.

formation enthalpy at 0 K: -69.69 kJ/mol of atoms
E_tot: -6.836 eV per atom

a b c (Å): 4.1333 4.1333 8.2635
angles (deg): 90.00 90.00 90.00
Space group P4/mmm (No. 123)
Symmetry-distinct sites (fractional):
Y  0.0000  0.0000  0.0000
U  0.0000  0.0000  0.5000
Pd  0.0000  0.5000  0.2552
Pd  0.5000  0.5000  0.0000
Pd  0.5000  0.5000  0.5000


(13)
Density functional theory data (PBE-GGA) for crystalline SrInAs2 at its relaxed geometry.

formation enthalpy at 0 K: -31.05 kJ/mol of atoms
E_tot: -3.752 eV per atom

a b c (Å): 4.2984 4.2984 6.0808
angles (deg): 90.00 90.00 90.00
Space group P4mm (No. 99)
Symmetry-distinct sites (fractional):
Sr  0.0000  0.0000  0.0000
In  0.5000  0.5000  0.4981
As  0.0000  0.0000  0.4998
As  0.5000  0.5000  0.9979


(14)
Density functional theory data (PBE-GGA) for crystalline Pa2Al3Cu2 at its relaxed geometry.

formation enthalpy at 0 K: -13.61 kJ/mol of atoms
E_tot: -5.628 eV per atom

a b c (Å): 10.0012 4.1056 6.4809
angles (deg): 90.00 100.06 90.00
Space group C2/m (No. 12)
Symmetry-distinct sites (fractional):
Pa  0.1210  0.0000  0.3593
Al  0.0000  0.5000  0.0000
Al  0.1943  0.0000  0.8683
Cu  0.0911  0.5000  0.6686


(15)
Density functional theory data (PBE-GGA) for crystalline Tb2NO at its relaxed geometry.

formation energy (no corrections): -1.771 eV per atom
distance to the lowest polymorph of the same formula: 571 meV per atom
E_tot: -7.407 eV per atom

a b c (Å): 3.6573 3.6573 20.2502
angles (deg): 90.00 90.00 120.00
Space group R-3m (No. 166, hexagonal axes)
Symmetry-distinct sites (fractional):
Tb  0.0000  0.0000  0.1014
N  0.0000  0.0000  0.5000
O  0.0000  0.0000  0.0000


(16)
Density functional theory data (PBE-GGA) for crystalline SiNiPb2 at its relaxed geometry.

formation energy (no corrections): 0.541 eV per atom
distance to the lowest polymorph of the same formula: 608 meV per atom
E_tot: -4.114 eV per atom

a b c (Å): 4.1015 4.1015 10.4391
angles (deg): 90.00 90.00 90.00
Space group I-4m2 (No. 119)
Symmetry-distinct sites (fractional):
Si  0.0000  0.0000  0.0000
Ni  0.0000  0.5000  0.7500
Pb  0.0000  0.0000  0.5000
Pb  0.0000  0.5000  0.2500


(17)
Density functional theory data (PBE-GGA) for crystalline LiNd2PPb at its relaxed geometry.

formation enthalpy at 0 K: -80.18 kJ/mol of atoms
E_tot: -4.945 eV per atom

a b c (Å): 7.7409 4.2206 8.5779
angles (deg): 90.00 106.66 90.00
Space group P2_1/m (No. 11)
Symmetry-distinct sites (fractional):
Li  0.0463  0.2500  0.1576
Nd  0.2647  0.7500  0.5224
Nd  0.3686  0.7500  0.1098
P  0.3509  0.2500  0.3270
Pb  0.1792  0.2500  0.7965


(18)
Density functional theory data (PBE-GGA) for crystalline LiCeYAu at its relaxed geometry.

formation enthalpy at 0 K: -25.63 kJ/mol of atoms
E_tot: -4.663 eV per atom

a b c (Å): 7.3211 7.3211 7.3211
angles (deg): 90.00 90.00 90.00
Space group F-43m (No. 216)
Symmetry-distinct sites (fractional):
Li  0.0000  0.0000  0.0000
Ce  0.2500  0.2500  0.7500
Y  0.2500  0.2500  0.2500
Au  0.0000  0.0000  0.5000


(19)
Density functional theory data (PBE-GGA) for crystalline MnIrPt2 at its relaxed geometry.

formation enthalpy at 0 K: -13.47 kJ/mol of atoms
E_tot: -7.668 eV per atom

a b c (Å): 9.1496 2.7934 4.7671
angles (deg): 90.00 101.48 90.00
Space group Cm (No. 8)
Symmetry-distinct sites (fractional):
Mn  0.0000  0.0000  0.0000
Ir  0.2621  0.0000  0.7501
Pt  0.0083  0.5000  0.5095
Pt  0.2483  0.5000  0.2405


(20)
Density functional theory data (PBE-GGA) for crystalline TePtSe2 at its relaxed geometry.

formation energy (no corrections): 0.464 eV per atom
E_tot: -3.574 eV per atom

a b c (Å): 4.8635 4.8635 6.8405
angles (deg): 90.00 90.00 90.00
Space group I-4m2 (No. 119)
Symmetry-distinct sites (fractional):
Te  0.0000  0.0000  0.0000
Pt  0.0000  0.5000  0.7500
Se  0.0000  0.0000  0.5000
Se  0.0000  0.5000  0.2500


(21)
Density functional theory data (PBE-GGA) for crystalline PrNi5Sb at its relaxed geometry.

formation energy (no corrections): -0.317 eV per atom
E_tot: -5.718 eV per atom

a b c (Å): 8.1143 5.0236 10.2690
angles (deg): 90.00 90.00 90.00
Space group Pnma (No. 62)
Symmetry-distinct sites (fractional):
Pr  0.2504  0.2500  0.0568
Ni  0.0667  0.2500  0.5992
Ni  0.0683  0.0003  0.8081
Ni  0.0866  0.7500  0.0195
Ni  0.1792  0.7500  0.2520
Sb  0.1466  0.2500  0.3575


(22)
Density functional theory data (PBE-GGA) for crystalline Eu2TlSn at its relaxed geometry.

formation enthalpy at 0 K: -52.48 kJ/mol of atoms
E_tot: -7.273 eV per atom

a b c (Å): 7.9136 7.9136 7.9136
angles (deg): 90.00 90.00 90.00
Space group Fm-3m (No. 225)
Symmetry-distinct sites (fractional):
Eu  0.2500  0.2500  0.2500
Tl  0.0000  0.0000  0.0000
Sn  0.0000  0.0000  0.5000


(23)
Density functional theory data (PBE-GGA) for crystalline NaAuSCl at its relaxed geometry.

formation energy (no corrections): -0.652 eV per atom
distance to the lowest polymorph of the same formula: 22 meV per atom
E_tot: -3.294 eV per atom

a b c (Å): 4.0548 4.0603 7.7747
angles (deg): 89.88 74.96 60.06
Space group P1 (No. 1)
Symmetry-distinct sites (fractional):
Na  0.0000  0.0000  0.0000
Au  0.0314  0.4801  0.4599
S  0.7469  0.1226  0.3859
Cl  0.7643  0.6180  0.8523


(24)
Density functional theory data (PBE-GGA) for crystalline Li9Sn11Pd4 at its relaxed geometry.

formation enthalpy at 0 K: -39.03 kJ/mol of atoms
E_tot: -3.822 eV per atom

a b c (Å): 13.8919 20.4359 3.3763
angles (deg): 90.00 90.00 90.00
Space group Cmmm (No. 65)
Symmetry-distinct sites (fractional):
Li  0.0000  0.0000  0.0000
Li  0.1042  0.2402  0.0000
Li  0.1422  0.4273  0.0000
Sn  0.0000  0.1417  0.5000
Sn  0.0000  0.3428  0.5000
Sn  0.0000  0.5000  0.5000
Sn  0.2056  0.0000  0.5000
Sn  0.2341  0.3245  0.5000
Pd  0.1497  0.1025  0.0000